## 1
First-principles (PBE) data for a relaxed structure of ScTaCl2, as listed in Alexandria via LeMat-Bulk.

Computed properties:
Crystal system: monoclinic
DOS at the Fermi energy in states/eV per atom: 0.192
Spin magnetization in μB/atom: 0.000

a = 9.4211 Å, b = 3.1292 Å, c = 6.9704 Å
α = 90.00°, β = 115.72°, γ = 90.00°
Space group Cm (No. 8)
Inequivalent atoms, fractional coordinates:
Sc  0.0000  0.0000  0.0000 (multiplicity 2)
Ta  0.2136  0.0000  0.7760 (multiplicity 2)
Cl  0.1079  0.5000  0.4657 (multiplicity 2)
Cl  0.2575  0.5000  0.0967 (multiplicity 2)

---

## 2
First-principles (PBE) data for a relaxed structure of ScTaCl2, as listed in Alexandria via LeMat-Bulk.

Computed properties:
Crystal system: orthorhombic
DOS at the Fermi energy in states/eV per atom: 0.787
Spin magnetization in μB/atom: 0.157

a = 3.0062 Å, b = 5.8464 Å, c = 8.8235 Å
α = 90.00°, β = 90.00°, γ = 90.00°
Space group Immm (No. 71)
Inequivalent atoms, fractional coordinates:
Sc  0.0000  0.0000  0.0000 (multiplicity 2)
Ta  0.0000  0.0000  0.5000 (multiplicity 2)
Cl  0.0000  0.5000  0.2342 (multiplicity 4)

---

## 3
First-principles (PBE) data for a relaxed structure of ScTaCl2, as listed in Alexandria via LeMat-Bulk.

Computed properties:
Crystal system: cubic
DOS at the Fermi energy in states/eV per atom: 0.753
Spin magnetization in μB/atom: 1.415

a = 7.0538 Å, b = 7.0538 Å, c = 7.0538 Å
α = 90.00°, β = 90.00°, γ = 90.00°
Space group F-43m (No. 216)
Inequivalent atoms, fractional coordinates:
Sc  0.0000  0.0000  0.0000 (multiplicity 4)
Ta  0.2500  0.2500  0.7500 (multiplicity 4)
Cl  0.0000  0.0000  0.5000 (multiplicity 4)
Cl  0.2500  0.2500  0.2500 (multiplicity 4)

---

Most favorable first, least favorable last: 1, 2, 3